Entry from Alexandria via LeMat-Bulk: MgZrTl2 after structural relaxation (GGA-PBEsol).

a b c (Å): 11.4726 3.2029 5.3646
angles (deg): 90.00 112.09 90.00
Last column: nearest neighbours and their distance in Å.
Space group Cm (No. 8)
Inequivalent atoms, fractional coordinates:
Mg 0.0000 0.0000 0.0000 [2 per cell]  7 Tl 3.02-3.21, 2 Mg 3.20, 3 Zr 3.29-3.37
Zr 0.2454 0.5000 0.4218 [2 per cell]  7 Tl 3.06-3.16, 2 Zr 3.20, 3 Mg 3.29-3.37
Tl 0.2455 0.0000 0.9148 [2 per cell]  3 Mg 3.02-3.21, 4 Zr 3.09-3.16, 5 Tl 3.20-3.38
Tl 0.4907 0.0000 0.4813 [2 per cell]  3 Zr 3.06-3.15, 4 Mg 3.07-3.18, 5 Tl 3.20-3.38

formation energy from the elements: -0.07 eV per atom


Entry from Alexandria via LeMat-Bulk: LiYSn3 after structural relaxation (GGA-PBEsol).

a b c (Å): 4.9357 4.9357 4.9357
angles (deg): 90.00 90.00 90.00
Last column: nearest neighbours and their distance in Å.
Space group Pm-3m (No. 221)
Inequivalent atoms, fractional coordinates:
Li 0.0000 0.0000 0.0000 [1 per cell]  6 Sn 2.47
Y 0.5000 0.5000 0.5000 [1 per cell]  12 Sn 3.49
Sn 0.0000 0.0000 0.5000 [3 per cell]  2 Li 2.47

formation energy from the elements: -0.12 eV per atom


Entry from Alexandria via LeMat-Bulk: YScMn2 after structural relaxation (GGA-PBEsol).

a b c (Å): 8.8152 3.0210 5.8717
angles (deg): 90.00 98.63 90.00
Last column: nearest neighbours and their distance in Å.
Space group C2/m (No. 12)
Inequivalent atoms, fractional coordinates:
Y 0.0000 0.0000 0.0000 [2 per cell]  2 Y 3.02, 6 Mn 3.04-3.06, 4 Sc 3.30
Sc 0.0000 0.5000 0.5000 [2 per cell]  6 Mn 2.64-2.74
Mn 0.2463 0.0000 0.6890 [4 per cell]  3 Sc 2.64-2.74, 2 Mn 2.69

formation energy from the elements: 0.48 eV per atom


Entry from Alexandria via LeMat-Bulk: CaAu3 after structural relaxation (GGA-PBEsol).

a b c (Å): 3.6837 3.6837 5.6892
angles (deg): 90.00 90.00 90.00
Last column: nearest neighbours and their distance in Å.
Space group P4/mmm (No. 123)
Inequivalent atoms, fractional coordinates:
Ca 0.0000 0.0000 0.0000 [1 per cell]  10 Au 2.84-3.00
Au 0.0000 0.0000 0.5000 [1 per cell]  2 Ca 2.84, 8 Au 2.94
Au 0.5000 0.5000 0.2607 [2 per cell]  6 Au 2.72-2.97, 4 Ca 3.00

formation energy from the elements: -0.47 eV per atom


Entry from Alexandria via LeMat-Bulk: Mo8Ru after structural relaxation (GGA-PBEsol).

a b c (Å): 9.3450 9.3450 3.1138
angles (deg): 90.00 90.00 90.00
Last column: nearest neighbours and their distance in Å.
Space group I4/mmm (No. 139)
Inequivalent atoms, fractional coordinates:
Mo 0.0000 0.3314 0.0000 [8 per cell]  8 Mo 2.69-2.72
Mo 0.1681 0.1681 0.5000 [8 per cell]  6 Mo 2.67-2.69, 2 Ru 2.71
Ru 0.0000 0.0000 0.0000 [2 per cell]  8 Mo 2.71

formation energy from the elements: 0.08 eV per atom


Entry from Alexandria via LeMat-Bulk: YNiRu after structural relaxation (GGA-PBEsol).

a b c (Å): 4.0623 4.0623 3.7034
angles (deg): 90.00 90.00 120.00
Last column: nearest neighbours and their distance in Å.
Space group P-6m2 (No. 187)
Inequivalent atoms, fractional coordinates:
Y 0.0000 0.0000 0.0000 [1 per cell]  6 Ru 2.99, 6 Ni 2.99
Ni 0.6667 0.3333 0.5000 [1 per cell]  3 Ru 2.35
Ru 0.3333 0.6667 0.5000 [1 per cell]  3 Ni 2.35

formation energy from the elements: -0.12 eV per atom


Repeat the second record exactly.
Entry from Alexandria via LeMat-Bulk: LiYSn3 after structural relaxation (GGA-PBEsol).

a b c (Å): 4.9357 4.9357 4.9357
angles (deg): 90.00 90.00 90.00
Last column: nearest neighbours and their distance in Å.
Space group Pm-3m (No. 221)
Inequivalent atoms, fractional coordinates:
Li 0.0000 0.0000 0.0000 [1 per cell]  6 Sn 2.47
Y 0.5000 0.5000 0.5000 [1 per cell]  12 Sn 3.49
Sn 0.0000 0.0000 0.5000 [3 per cell]  2 Li 2.47

formation energy from the elements: -0.12 eV per atom